First-principles (GGA-PBEsol) data for a geometry-optimized LiVPO5 structure, as listed in the Alexandria database.

Computed properties:
M_tot in μB/f.u.: 1.0
Uncorrected formation energy in eV/atom: -2.29

a b c (Å): 5.9612 7.2163 9.8524
angles (deg): 90.00 90.00 90.00
With the nearest neighbours (Å) after each atom.
Positions (direct):
Li 0.0584 0.0317 0.4288  4 O 1.92-2.12
Li 0.4416 0.9683 0.9288  4 O 1.92-2.12
Li 0.5584 0.4683 0.5712  4 O 1.92-2.12
Li 0.9416 0.5317 0.0712  4 O 1.92-2.12
V 0.0819 0.5458 0.5505  1 O 1.61
V 0.4181 0.4542 0.0505  1 O 1.61
V 0.5819 0.9542 0.4495  1 O 1.61
V 0.9181 0.0458 0.9495  1 O 1.61
P 0.2134 0.3530 0.8281  4 O 1.53-1.57
P 0.2866 0.6470 0.3281  4 O 1.53-1.57
P 0.7134 0.1470 0.1719  4 O 1.53-1.57
P 0.7866 0.8530 0.6719  4 O 1.53-1.57
O 0.0132 0.2209 0.8138  1 P 1.53
O 0.0845 0.7412 0.4034  1 P 1.57
O 0.1316 0.9147 0.9773  1 V 1.61
O 0.1647 0.5130 0.9308  1 P 1.56
O 0.2200 0.5734 0.1873  1 P 1.54
O 0.2800 0.4266 0.6873  1 P 1.54
O 0.3353 0.4870 0.4308  1 P 1.56
O 0.3684 0.0853 0.4773  1 V 1.61
O 0.4155 0.2588 0.9034  1 P 1.57
O 0.4868 0.7791 0.3138  1 P 1.53
O 0.5132 0.2791 0.1862  1 P 1.53
O 0.5845 0.7588 0.5966  1 P 1.57
O 0.6316 0.5853 0.0227  1 V 1.61
O 0.6647 0.9870 0.0692  1 P 1.56
O 0.7200 0.9266 0.8127  1 P 1.54
O 0.7800 0.0734 0.3127  1 P 1.54
O 0.8353 0.0130 0.5692  1 P 1.56
O 0.8684 0.4147 0.5227  1 V 1.61
O 0.9155 0.2412 0.0966  1 P 1.57
O 0.9868 0.7209 0.6862  1 P 1.53